Record 1
DFT (GGA-PBE) results for a relaxed structure of HfCoSbOs.

Computed properties:
For the energy above the most stable polymorph in this dataset, the calculation gives 470 meV/atom. The size of the total moment is 2.23 Bohr magnetons per cell.

The structure in extended XYZ format:
```
4
Lattice="0.0000 3.2423 3.2423 3.2423 0.0000 3.2423 3.2423 3.2423 0.0000" Properties=species:S:1:pos:R:3 pbc="T T T"
Hf 0.0000 0.0000 0.0000
Co 3.2423 3.2423 3.2423
Sb 1.6212 1.6212 1.6212
Os 4.8635 4.8635 4.8635
```



Record 2
DFT (GGA-PBE) results for a relaxed structure of HfMg2Au.

Computed properties:
The size of the total moment is 0.00 Bohr magnetons per cell. For the final energy, the calculation gives -4.291 eV/atom.

The structure in extended XYZ format:
```
4
Lattice="0.0000 3.3690 3.3690 3.3690 0.0000 3.3690 3.3690 3.3690 0.0000" Properties=species:S:1:pos:R:3 pbc="T T T"
Hf 0.0000 0.0000 0.0000
Mg 1.6845 1.6845 1.6845
Mg 3.3690 3.3690 3.3690
Au 5.0534 5.0534 5.0534
```



Record 3
DFT (GGA-PBE) results for a relaxed structure of LiTbCu3S4.

Computed properties:
For the energy above the most stable polymorph in this dataset, the calculation gives 63 meV/atom. The size of the total moment is 0.01 Bohr magnetons per cell.

The structure in extended XYZ format:
```
9
Lattice="5.6793 0.0000 0.0000 0.0000 5.6793 0.0000 0.0000 0.0000 5.6793" Properties=species:S:1:pos:R:3 pbc="T T T"
Li 0.0000 0.0000 0.0000
Tb 2.8396 2.8396 2.8396
Cu 0.0000 2.8396 2.8396
Cu 2.8396 0.0000 2.8396
Cu 2.8396 2.8396 0.0000
S 1.3848 1.3848 1.3848
S 1.3848 4.2944 4.2944
S 4.2944 1.3848 4.2944
S 4.2944 4.2944 1.3848
```



Record 4
DFT (GGA-PBE) results for a relaxed structure of Y2CdB.

Computed properties:
For the energy above the most stable polymorph in this dataset, the calculation gives 912 meV/atom. The size of the total moment is 1.07 Bohr magnetons per cell.

The structure in extended XYZ format:
```
4
Lattice="0.0000 3.5326 3.5326 3.5326 0.0000 3.5326 3.5326 3.5326 0.0000" Properties=species:S:1:pos:R:3 pbc="T T T"
Y 0.0000 0.0000 0.0000
Y 1.7663 1.7663 1.7663
Cd 5.2990 5.2990 5.2990
B 3.5326 3.5326 3.5326
```



Record 5
DFT (GGA-PBE) results for a relaxed structure of HoCoAu.

Computed properties:
The size of the total moment is 0.99 Bohr magnetons per cell. For the final energy, the calculation gives -4.706 eV/atom.

The structure in extended XYZ format:
```
3
Lattice="0.0000 3.2023 3.2023 3.2023 0.0000 3.2023 3.2023 3.2023 0.0000" Properties=species:S:1:pos:R:3 pbc="T T T"
Ho 0.0000 0.0000 0.0000
Co 4.8035 4.8035 4.8035
Au 1.6012 1.6012 1.6012
```



Record 6
DFT (GGA-PBE) results for a relaxed structure of AgH3C4IN.

Computed properties:
For the final energy, the calculation gives -6.005 eV/atom.

The structure in extended XYZ format:
```
20
Lattice="4.5877 0.0000 0.0000 1.4749 7.6527 0.0000 2.2127 3.4546 8.3817" Properties=species:S:1:pos:R:3 pbc="T T T"
Ag 1.6742 2.8190 0.4265
Ag 6.6011 8.2883 7.9552
H 3.6991 7.4620 5.8639
H 3.3126 4.3470 4.5830
H 3.6671 3.0910 6.7058
H 4.6081 8.0163 1.6759
H 4.9626 6.7603 3.7986
H 4.5761 3.6453 2.5178
C 2.6542 9.0499 4.8198
C 3.5612 7.9683 4.9053
C 4.0499 8.2930 2.5731
C 4.2514 7.5867 3.7776
C 4.0239 3.5206 4.6041
C 4.2254 2.8143 5.8086
C 4.7140 3.1390 3.4764
C 5.6211 2.0575 3.5618
I 2.0927 5.6431 1.0822
I 6.1825 5.4642 7.2995
N 1.7441 1.6695 2.4598
N 6.5312 9.4379 5.9219
```